TaCo2Pt: optimized geometry, PBE-GGA.

a b c (Å): 3.217 3.217 5.401
angles (deg): 90.00 90.00 90.00
Atoms (fractional coordinates):
1 Co 0.000 0.000 0.018
2 Co 0.500 0.500 0.218
3 Pt 0.000 0.000 0.491
4 Ta 0.500 0.500 0.773

Summary:
density of states at the Fermi level	3.07	states/eV per cell
formation energy from the elements	-0.233	eV/atom
total magnetic moment	1.82	μB/f.u.
space group	P4mm
relative energy among the computed polymorphs	201	meV per atom